# 1
First-principles (PBE) data for crystalline Sr3CaBi2Se at its relaxed geometry, as listed in Alexandria.

## Properties
DOS(E_F) (states/eV per atom): 0.0157
Formation energy without anion corrections (eV per atom): -1.12
ρ (g/cm³): 4.909

Lattice parameters (Å, degrees): 5.4354 5.6364 17.6618 90.00 90.00 90.00
With the nearest neighbours (Å) after each atom.
Space group Immm (No. 71)
Inequivalent atoms, fractional coordinates:
Sr  0.0000  0.0000  0.0000  2 Se 2.82
Sr  0.0000  0.5000  0.1781  1 Se 3.15, 1 Bi 3.36
Ca  0.0000  0.0000  0.5000  2 Se 2.72
Bi  0.0000  0.5000  0.3681  3 Sr 3.36-3.58, 2 Ca 3.66
Se  0.0000  0.5000  0.0000  2 Ca 2.72, 2 Sr 2.82

# 2
First-principles (PBE) data for crystalline Na3LiZr2Se6 at its relaxed geometry, as listed in Alexandria.

## Properties
Formation energy without anion corrections (eV per atom): -1.31
ρ (g/cm³): 4.284

Lattice parameters (Å, degrees): 6.8711 11.9034 7.3100 90.00 108.33 90.00
With the nearest neighbours (Å) after each atom.
Space group C2/m (No. 12)
Inequivalent atoms, fractional coordinates:
Na  0.0000  0.0000  0.0000  6 Se 2.94-3.03
Na  0.0000  0.3367  0.0000  6 Se 2.97-3.04
Li  0.0000  0.5000  0.5000  6 Se 2.82
Zr  0.0000  0.1675  0.5000  6 Se 2.71-2.73
Se  0.2281  0.0000  0.7203  2 Zr 2.73, 1 Li 2.82, 3 Na 2.94-3.01
Se  0.2464  0.3273  0.7202  2 Zr 2.71-2.72, 1 Li 2.82, 3 Na 2.97-3.04

# 3
First-principles (PBE) data for crystalline Be2AgIr2 at its relaxed geometry, as listed in Alexandria.

## Properties
DOS(E_F) (states/eV per atom): 0.4863
ρ (g/cm³): 12.016
E above lowest polymorph (eV/atom): 0.320
Energy relative to the elements (eV/atom): 0.131

Lattice parameters (Å, degrees): 4.0747 4.0747 8.4956 90.00 90.00 90.00
With the nearest neighbours (Å) after each atom.
Space group I4/mmm (No. 139)
Inequivalent atoms, fractional coordinates:
Be  0.0000  0.5000  0.2500  4 Ir 2.23
Ag  0.0000  0.0000  0.0000  8 Be 2.94, 10 Ir 3.03-3.13
Ir  0.0000  0.0000  0.3568  4 Be 2.23, 1 Ir 2.43

# 4
First-principles (PBE) data for crystalline Er2GeHPt6 at its relaxed geometry, as listed in Alexandria.

## Properties
DOS(E_F) (states/eV per atom): 0.3534
ρ (g/cm³): 15.634
Final energy (eV per cell): -123.21

Lattice parameters (Å, degrees): 9.7558 5.6318 6.9245 90.00 118.18 90.00
With the nearest neighbours (Å) after each atom.
Space group C2/m (No. 12)
Inequivalent atoms, fractional coordinates:
Er  0.2141  0.0000  0.1441  9 Pt 2.98-3.20
Ge  0.0000  0.5000  0.0000  6 Pt 2.47
H  0.0000  0.0000  0.5000  6 Pt 2.01-2.02
Pt  0.0176  0.2502  0.3047  1 H 2.02
Pt  0.2319  0.0000  0.6941  1 H 2.01

# 5
First-principles (PBE) data for crystalline Ca2LuCu at its relaxed geometry, as listed in Alexandria.

## Properties
DOS(E_F) (states/eV per atom): 1.1565
ρ (g/cm³): 4.232
Energy relative to the elements (eV/atom): 0.301

Lattice parameters (Å, degrees): 3.6428 3.6428 32.6445 90.00 90.00 120.00
With the nearest neighbours (Å) after each atom.
Space group R-3m (No. 166, hexagonal axes)
Inequivalent atoms, fractional coordinates:
Ca  0.0000  0.0000  0.1054  3 Cu 2.90
Lu  0.0000  0.0000  0.0000  2 Ca 3.44, 6 Lu 3.64
Cu  0.0000  0.0000  0.5000  6 Ca 2.90

# 6
First-principles (PBE) data for crystalline NaAgCl2 at its relaxed geometry, as listed in Alexandria.

## Properties
DOS(E_F) (states/eV per atom): 0.0000
Formation energy without anion corrections (eV per atom): -1.07
ρ (g/cm³): 3.659
E above lowest polymorph (eV/atom): 0.025

Lattice parameters (Å, degrees): 3.9412 3.9412 20.4211 90.00 90.00 120.00
With the nearest neighbours (Å) after each atom.
Space group R3m (No. 160, hexagonal axes)
Inequivalent atoms, fractional coordinates:
Na  0.0000  0.0000  0.0000  6 Cl 2.86-2.89
Ag  0.0000  0.0000  0.8318  6 Cl 2.81
Cl  0.0000  0.0000  0.2460  3 Ag 2.81, 3 Na 2.89
Cl  0.0000  0.0000  0.4180  3 Ag 2.81, 3 Na 2.86

no.,calculated volume (Å³/cell)
1,541
2,568
3,141
4,335
5,375
6,275